# 1
Compound: Tm2LuTh
Source: the Alexandria database
Functional: PBE-GGA
Structure: relaxed

Calculated values
Energy relative to the elements, meV per atom: 35
Final energy, eV per atom: -5.1864
Size of the total moment, μB/f.u.: 0.00
ΔE to the lowest computed polymorph, meV per atom: 7
Calculated volume, Å³/cell: 122

abc: 4.9505 4.9505 4.9763
angles: 90.00 90.00 90.00
Last column: nearest neighbours and their distance in Å.
Space group P4/mmm (No. 123)
Unique sites:
Tm1 0.0000 0.5000 0.0000 (multiplicity 2)  4 Tm 3.50, 4 Th 3.51, 4 Lu 3.51
Lu1 0.0000 0.0000 0.5000 (multiplicity 1)  4 Th 3.50, 8 Tm 3.51
Th1 0.5000 0.5000 0.5000 (multiplicity 1)  4 Lu 3.50, 8 Tm 3.51

***

# 2
Compound: Rb4Dy3TmSe8
Source: the Alexandria database
Functional: PBE-GGA
Structure: relaxed

Calculated values
Formation energy from raw total energies, eV per atom: -1.736
Final energy, eV per atom: -4.8621
Size of the total moment, μB/f.u.: 0.00
Calculated volume, Å³/cell: 1486

abc: 8.4591 8.4591 23.9719
angles: 90.00 90.00 120.00
Last column: nearest neighbours and their distance in Å.
Space group R-3m (No. 166, hexagonal axes)
Unique sites:
Rb1 0.0000 0.0000 0.0000 (multiplicity 3)  6 Se 3.47
Rb2 0.0000 0.5000 0.0000 (multiplicity 9)  6 Se 3.45
Dy1 0.0000 0.5000 0.5000 (multiplicity 9)  6 Se 2.90
Tm1 0.0000 0.0000 0.5000 (multiplicity 3)  6 Se 2.88
Se1 0.0000 0.0000 0.2319 (multiplicity 6)  3 Dy 2.90
Se2 0.0027 0.5014 0.2315 (multiplicity 18)  1 Tm 2.88, 2 Dy 2.90

***

# 3
Compound: MnSn
Source: the Alexandria database
Functional: PBE-GGA
Structure: relaxed

Calculated values
Energy relative to the elements, meV per atom: 470
Final energy, eV per atom: -6.1161
Size of the total moment, μB/f.u.: 3.22
Calculated volume, Å³/cell: 100

abc: 4.7075 4.7075 5.2364
angles: 90.00 90.00 120.00
Last column: nearest neighbours and their distance in Å.
Space group P6_3/mmc (No. 194)
Unique sites:
Mn1 0.3333 0.6667 0.2500 (multiplicity 2)  5 Sn 2.62-2.72
Sn1 0.3333 0.6667 0.7500 (multiplicity 2)  5 Mn 2.62-2.72

***

# 4
Compound: MnReHgOs2
Source: the Alexandria database
Functional: PBE-GGA
Structure: relaxed

Calculated values
Energy relative to the elements, meV per atom: 3042
Final energy, eV per atom: -5.8335
Size of the total moment, μB/f.u.: 1.54
Calculated volume, Å³/cell: 109

abc: 4.8694 4.8694 4.6167
angles: 90.00 90.00 90.00
Last column: nearest neighbours and their distance in Å.
Space group P4/mmm (No. 123)
Unique sites:
Mn1 0.0000 0.0000 0.0000 (multiplicity 1)  2 Hg 2.31
Re1 0.5000 0.5000 0.0000 (multiplicity 1)  8 Os 3.36, 4 Mn 3.44
Hg1 0.0000 0.0000 0.5000 (multiplicity 1)  2 Mn 2.31, 4 Os 2.43
Os1 0.0000 0.5000 0.5000 (multiplicity 2)  2 Hg 2.43